(1)
Below is a relaxed KSbAu crystal, with properties calculated at the GGA-PBEsol level.

Summary:
For the formation energy from raw total energies, the calculation gives 0.03 eV per atom. As for the calculated volume: 157.2 Å³/cell. The calculation puts the energy relative to the lowest polymorph listed for this composition at 375 meV per atom. Its total magnetic moment is 0.00 μB/cell. As for the uncorrected energy: -9.5 eV/f.u.

Structure (CIF):
```
data_KSbAu
_chemical_formula_sum 'K2 Sb2 Au2'
_space_group_name_H-M_alt 'I m m 2'
_space_group_IT_number 44
_cell_length_a 3.2256
_cell_length_b 5.2974
_cell_length_c 9.1992
_cell_angle_alpha 90.00
_cell_angle_beta 90.00
_cell_angle_gamma 90.00
loop_
_space_group_symop_operation_xyz
'x,y,z'
'-x,-y,z'
'-x,y,z'
'x,-y,z'
'x+1/2,y+1/2,z+1/2'
'-x+1/2,-y+1/2,z+1/2'
'-x+1/2,y+1/2,z+1/2'
'x+1/2,-y+1/2,z+1/2'
loop_
_atom_site_label
_atom_site_type_symbol
_atom_site_fract_x
_atom_site_fract_y
_atom_site_fract_z
_atom_site_occupancy
K1 K 0.0000 0.0000 0.0000 1
Sb1 Sb 0.0000 0.0000 0.6528 1
Au1 Au 0.0000 0.0000 0.3603 1
```

=====

(2)
Below is a relaxed CdPN2O crystal, with properties calculated at the GGA-PBEsol level.

Summary:
For the formation energy from raw total energies, the calculation gives 0.12 eV per atom. As for the calculated volume: 48.3 Å³/cell. Its total magnetic moment is 0.00 μB/cell. As for the uncorrected energy: -28.7 eV/f.u.

Structure (CIF):
```
data_CdPN2O
_chemical_formula_sum 'Cd1 P1 N2 O1'
_space_group_name_H-M_alt 'P 4/m m m'
_space_group_IT_number 123
_space_group_name_Hall '-P 4 2'
_cell_length_a 3.3498
_cell_length_b 3.3498
_cell_length_c 4.3026
_cell_angle_alpha 90.00
_cell_angle_beta 90.00
_cell_angle_gamma 90.00
loop_
_atom_site_label
_atom_site_type_symbol
_atom_site_fract_x
_atom_site_fract_y
_atom_site_fract_z
_atom_site_occupancy
Cd1 Cd 0.0000 0.0000 0.0000 1
P1 P 0.5000 0.5000 0.5000 1
N1 N 0.0000 0.5000 0.5000 1
O1 O 0.5000 0.5000 0.0000 1
```

=====

(3)
Below is a relaxed FeCoIr2 crystal, with properties calculated at the GGA-PBEsol level.

Summary:
As for the calculated volume: 98.3 Å³/cell. The calculation puts the formation energy at -0.016 eV per atom. Its total magnetic moment is 5.09 μB/cell. As for the uncorrected energy: -36.4 eV/f.u.

Structure (CIF):
```
data_FeCoIr2
_chemical_formula_sum 'Fe2 Co2 Ir4'
_space_group_name_H-M_alt 'I 4/m m m'
_space_group_IT_number 139
_space_group_name_Hall '-I 4 2'
_cell_length_a 3.7269
_cell_length_b 3.7269
_cell_length_c 7.0750
_cell_angle_alpha 90.00
_cell_angle_beta 90.00
_cell_angle_gamma 90.00
loop_
_atom_site_label
_atom_site_type_symbol
_atom_site_fract_x
_atom_site_fract_y
_atom_site_fract_z
_atom_site_occupancy
Fe1 Fe 0.0000 0.0000 0.0000 1
Co1 Co 0.0000 0.0000 0.5000 1
Ir1 Ir 0.0000 0.5000 0.2500 1
```

=====

(4)
Below is a relaxed Ba2LiCu crystal, with properties calculated at the GGA-PBEsol level.

Summary:
As for the calculated volume: 135.9 Å³/cell. The calculation puts the formation energy at 0.077 eV per atom. Its total magnetic moment is 0.00 μB/cell. As for the uncorrected energy: -10.3 eV/f.u.

Structure (CIF):
```
data_Ba2LiCu
_chemical_formula_sum 'Ba2 Li1 Cu1'
_space_group_name_H-M_alt 'P 4/m m m'
_space_group_IT_number 123
_space_group_name_Hall '-P 4 2'
_cell_length_a 3.9242
_cell_length_b 3.9242
_cell_length_c 8.8280
_cell_angle_alpha 90.00
_cell_angle_beta 90.00
_cell_angle_gamma 90.00
loop_
_atom_site_label
_atom_site_type_symbol
_atom_site_fract_x
_atom_site_fract_y
_atom_site_fract_z
_atom_site_occupancy
Ba1 Ba 0.0000 0.0000 0.2080 1
Li1 Li 0.5000 0.5000 0.5000 1
Cu1 Cu 0.5000 0.5000 0.0000 1
```

=====

- The highest total magnetic moment belongs to which entry?
  FeCoIr2